First-principles (GGA-PBEsol) data for HfPH after structural relaxation, as listed in Alexandria via LeMat-Bulk.

Cell: 3.4394 3.4925 3.4925 Å, 120.00 90.00 90.00°
Fractional positions:
P 0.0000 0.0000 0.0000
Hf 0.5000 0.3333 0.6667
H 0.5000 0.6667 0.3333

Values from the calculation:
Symmetry: P-6m2, No. 187
DFT total energy: -7.61 eV per atom